# Hf4CN2 GGA-PBE optimized geometry
data_Hf4CN2
_chemical_formula_sum 'Hf16 C4 N8'
_symmetry_space_group_name_H-M 'C m c m'
_symmetry_Int_Tables_number 63
_symmetry_space_group_name_Hall '-C 2c 2'
_cell_length_a 3.1962
_cell_length_b 10.5316
_cell_length_c 11.0644
_cell_angle_alpha 90.00
_cell_angle_beta 90.00
_cell_angle_gamma 90.00
loop_
_atom_site_label
_atom_site_fract_x
_atom_site_fract_y
_atom_site_fract_z
Hf1 0.0000 0.0000 0.0000
Hf2 0.0000 0.2780 0.1187
Hf3 0.0000 0.4479 0.7500
C1 0.0000 0.1042 0.7500
N1 0.0000 0.3623 0.5653
# Magnetic moment, μB per formula unit: 0.0
# Electronic total energy, eV/cell: -295.14
# Density, g cm⁻³: 13.4
# Energy above the lowest structure with this stoichiometry, kJ/mol of atoms: 10.65
# Formation energy from raw total energies, eV/atom: -1.157